1.
{"formula": "TiZnTe", "functional": "PBE", "state": "optimized geometry", "sg": "No. 139", "total_magnetization_mub_per_atom": 0.000, "relative_energy_kj_per_mol_atoms": 7.83, "energy_ev_per_atom": -4.41, "lattice_angstrom": [[-0.742, 3.787, -1.591], [-2.759, -1.658, -2.658], [-10.622, 2.021, 9.766]], "species": ["Zn", "Ti", "Te", "Zn", "Zn", "Te", "Zn", "Ti", "Te", "Ti", "Te", "Ti"], "fractional_positions": [[0.000, 0.000, 0.413], [0.500, 0.000, 0.250], [0.500, 0.500, 0.380], [0.500, 0.500, 0.087], [0.000, 0.000, 0.587], [0.500, 0.500, 0.620], [0.500, 0.500, 0.913], [0.000, 0.500, 0.250], [0.000, 0.000, 0.120], [0.000, 0.500, 0.750], [0.000, 0.000, 0.880], [0.500, 0.000, 0.750]]}



2.
{"formula": "HRu", "functional": "PBE", "state": "optimized geometry", "sg": "No. 217", "total_magnetization_mub_per_atom": 0.000, "energy_ev_per_atom": -5.79, "lattice_angstrom": [[-1.226, -0.183, 5.246], [-4.851, -2.019, -1.204], [2.006, -4.995, 0.295]], "species": ["Ru", "H", "Ru", "Ru", "Ru", "H", "Ru", "Ru", "H", "H", "H", "H", "Ru", "Ru", "H", "H"], "fractional_positions": [[0.688, 0.688, 0.312], [0.132, 0.868, 0.868], [0.812, 0.188, 0.188], [0.312, 0.312, 0.312], [0.688, 0.312, 0.688], [0.868, 0.868, 0.132], [0.188, 0.188, 0.812], [0.312, 0.688, 0.688], [0.368, 0.368, 0.632], [0.632, 0.632, 0.632], [0.868, 0.132, 0.868], [0.132, 0.132, 0.132], [0.812, 0.812, 0.812], [0.188, 0.812, 0.188], [0.368, 0.632, 0.368], [0.632, 0.368, 0.368]]}



3.
{"formula": "KInGa3", "functional": "PBE", "state": "optimized geometry", "sg": "No. 221", "total_magnetization_mub_per_atom": 0.000, "e_form_ev_per_fu": 4.797, "relative_energy_kj_per_mol_atoms": 104.62, "energy_ev_per_atom": -1.62, "lattice_angstrom": [[-4.638, -2.273, 2.530], [2.646, 0.277, 5.100], [-2.137, 5.276, 0.822]], "species": ["Ga", "Ga", "In", "K", "Ga"], "fractional_positions": [[0.000, 0.000, 0.500], [0.000, 0.500, 0.000], [0.500, 0.500, 0.500], [0.000, 0.000, 0.000], [0.500, 0.000, 0.000]]}



4.
{"formula": "RbPmCu2O4", "functional": "PBE", "state": "optimized geometry", "sg": "No. 123", "total_magnetization_mub_per_atom": 0.000, "energy_ev_per_atom": -5.83, "lattice_angstrom": [[3.927, 0.000, 0.000], [0.000, 3.927, 0.000], [0.000, 0.000, 7.605]], "species": ["Cu", "O", "Rb", "O", "Pm", "O", "O", "Cu"], "fractional_positions": [[0.500, 0.500, 0.788], [0.500, 0.000, 0.197], [0.000, 0.000, 0.500], [0.000, 0.500, 0.803], [0.000, 0.000, 0.000], [0.000, 0.500, 0.197], [0.500, 0.000, 0.803], [0.500, 0.500, 0.212]]}



5.
{"formula": "Tm4P6Rh7", "functional": "PBE", "state": "optimized geometry", "sg": "No. 229", "total_magnetization_mub_per_atom": 0.000, "e_form_ev_per_fu": -19.114, "energy_ev_per_atom": -7.11, "lattice_angstrom": [[-6.261, 0.238, 3.228], [-0.912, -1.726, -6.772], [4.073, -4.828, 3.127]], "species": ["Rh", "Tm", "P", "P", "Rh", "Rh", "P", "Rh", "Rh", "Tm", "Rh", "P", "P", "Tm", "Rh", "Tm", "P"], "fractional_positions": [[0.750, 0.250, 0.500], [0.000, 0.000, 0.500], [0.322, 0.322, 0.000], [0.678, 0.678, 0.000], [0.250, 0.500, 0.750], [0.500, 0.750, 0.250], [0.000, 0.678, 0.678], [0.750, 0.500, 0.250], [0.250, 0.750, 0.500], [0.000, 0.500, 0.000], [0.500, 0.250, 0.750], [0.322, 0.000, 0.322], [0.678, 0.000, 0.678], [0.500, 0.500, 0.500], [0.000, 0.000, 0.000], [0.500, 0.000, 0.000], [0.000, 0.322, 0.322]]}



6.
{"formula": "RbTlIn2Sb2", "functional": "PBE", "state": "optimized geometry", "sg": "No. 164", "total_magnetization_mub_per_atom": 0.000, "energy_ev_per_atom": -3.02, "lattice_angstrom": [[5.418, 0.000, 0.000], [-2.709, 4.692, 0.000], [0.000, 0.000, 8.197]], "species": ["Sb", "Rb", "In", "Sb", "Tl", "In"], "fractional_positions": [[0.667, 0.333, 0.714], [0.000, 0.000, 0.000], [0.333, 0.667, 0.656], [0.333, 0.667, 0.286], [0.000, 0.000, 0.500], [0.667, 0.333, 0.344]]}



7.
{"formula": "Ac2InPb2", "functional": "PBE", "state": "optimized geometry", "sg": "No. 127", "total_magnetization_mub_per_atom": 0.000, "e_form_ev_per_fu": -2.401, "energy_ev_per_atom": -4.15, "lattice_angstrom": [[-1.282, -1.350, 4.519], [-7.620, -2.400, -2.878], [3.014, -7.800, -1.475]], "species": ["Ac", "Pb", "In", "Ac", "Pb", "Ac", "Pb", "Ac", "Pb", "In"], "fractional_positions": [[0.500, 0.824, 0.676], [0.000, 0.871, 0.371], [0.000, 0.500, 0.500], [0.500, 0.176, 0.324], [0.000, 0.129, 0.629], [0.500, 0.676, 0.176], [0.000, 0.371, 0.129], [0.500, 0.324, 0.824], [0.000, 0.629, 0.871], [0.000, 0.000, 0.000]]}



8.
{"formula": "Ho2Er8Al", "functional": "PBE", "state": "optimized geometry", "sg": "No. 12", "total_magnetization_mub_per_atom": 0.000, "e_form_ev_per_fu": -0.466, "energy_ev_per_atom": -4.53, "lattice_angstrom": [[5.415, 0.000, 0.000], [0.000, 6.214, 1.243], [-2.708, -1.183, 9.410]], "species": ["Er", "Er", "Er", "Er", "Ho", "Er", "Er", "Er", "Al", "Ho", "Er"], "fractional_positions": [[0.155, 0.190, 0.309], [0.578, 0.398, 0.156], [0.845, 0.810, 0.691], [0.043, 0.745, 0.086], [0.242, 0.667, 0.484], [0.957, 0.255, 0.914], [0.658, 0.878, 0.316], [0.422, 0.602, 0.844], [0.500, 0.000, 0.000], [0.758, 0.333, 0.516], [0.342, 0.122, 0.684]]}



| no. | calculated density (g cm⁻³) |
| --- | --- |
| 1 | 6.30 |
| 2 | 8.66 |
| 3 | 3.17 |
| 4 | 5.97 |
| 5 | 9.75 |
| 6 | 6.08 |
| 7 | 9.27 |
| 8 | 8.67 |